# Ac3LaF (GGA-PBE, relaxed)
# Formation energy (no corrections) = -0.975 eV per atom
# M_tot = 0.000 μB/cell
# Total energy = -4.80 eV per atom
data_Ac3LaF
_space_group_name_H-M_alt 'P m -3 m'
_space_group_IT_number 221
_space_group_name_Hall '-P 4 2 3'
_cell_length_a 5.580
_cell_length_b 5.580
_cell_length_c 5.580
_cell_angle_alpha 90.00
_cell_angle_beta 90.00
_cell_angle_gamma 90.00
loop_
_atom_site_label
_atom_site_type_symbol
_atom_site_fract_x
_atom_site_fract_y
_atom_site_fract_z
Ac1 Ac 0.000 0.000 0.500
La1 La 0.500 0.500 0.500
F1 F 0.000 0.000 0.000